# 1
Entry from Alexandria via LeMat-Bulk: a geometry-optimized PrSeI structure (GGA-PBE).

The structure in CIF format:
```
data_PrSeI
_cell_length_a 3.866
_cell_length_b 3.866
_cell_length_c 7.237
_cell_angle_alpha 105.49
_cell_angle_beta 105.49
_cell_angle_gamma 90.00
_space_group_name_H-M_alt 'P 1'
_space_group_IT_number 1
_space_group_name_Hall 'P 1'
loop_
_atom_site_label
_atom_site_fract_x
_atom_site_fract_y
_atom_site_fract_z
Se1 0.287 0.287 0.575
Pr1 0.689 0.689 0.377
I1 0.024 0.024 0.048
```

Total magnetic moment ... 0.0 μB per formula unit
SG ... I4mm
Total energy ... -4.706 eV/atom
DOS at the Fermi energy ... 0.496 states/eV/atom

***

# 2
Entry from Alexandria via LeMat-Bulk: a geometry-optimized PrSeI structure (GGA-PBE).

The structure in CIF format:
```
data_PrSeI
_cell_length_a 4.465
_cell_length_b 4.465
_cell_length_c 7.190
_cell_angle_alpha 90.00
_cell_angle_beta 90.00
_cell_angle_gamma 120.00
_space_group_name_H-M_alt 'P 1'
_space_group_IT_number 1
_space_group_name_Hall 'P 1'
loop_
_atom_site_label
_atom_site_fract_x
_atom_site_fract_y
_atom_site_fract_z
Se1 0.333 0.667 0.551
Pr1 0.667 0.333 0.369
I1 0.000 0.000 0.079
```

Total magnetic moment ... 0.0 μB per formula unit
SG ... P3m1
Total energy ... -4.905 eV/atom
DOS at the Fermi energy ... 0.000 states/eV/atom